# 1
A relaxed VCd3Se crystal, computed with PBE-GGA.

The uncorrected formation energy comes out at 834 meV per atom.

Cell lengths 5.3407, 5.3407, 5.3407 Å; angles 90.00, 90.00, 90.00 degrees
With the nearest neighbours (Å) after each atom.
Space group Pm-3m (No. 221)
Unique sites:
V1 0.0000 0.0000 0.0000 x1  6 Cd 2.67
Cd1 0.0000 0.0000 0.5000 x3  2 V 2.67
Se1 0.5000 0.5000 0.5000 x1  12 Cd 3.78

# 2
A relaxed BaCeTeO6 crystal, computed with PBE-GGA.

The uncorrected formation energy comes out at -2271 meV per atom.

Cell lengths 5.7425, 5.7425, 5.6287 Å; angles 90.00, 90.00, 120.00 degrees
With the nearest neighbours (Å) after each atom.
Space group P312 (No. 149)
Unique sites:
Ba1 0.0000 0.0000 0.0000 x1  6 O 2.77
Ce1 0.3333 0.6667 0.5000 x1  6 O 2.27
Te1 0.6667 0.3333 0.5000 x1  6 O 1.96
O1 0.3974 0.0400 0.6970 x6  1 Te 1.96

# 3
A relaxed GeBi5Pd4 crystal, computed with PBE-GGA.

Cell lengths 16.0318, 4.3518, 7.0446 Å; angles 90.00, 98.96, 90.00 degrees
With the nearest neighbours (Å) after each atom.
Space group C2/m (No. 12)
Unique sites:
Ge1 0.0000 0.0000 0.0000 x2  6 Pd 2.58-2.61
Bi1 0.0000 0.0000 0.5000 x2  6 Pd 3.04-3.08
Bi2 0.1664 0.5000 0.6100 x4  3 Pd 2.86-2.97
Bi3 0.1750 0.5000 0.1219 x4  5 Pd 2.87-3.16
Pd1 0.0145 0.5000 0.8041 x4  2 Ge 2.61, 1 Pd 2.87
Pd2 0.1383 0.0000 0.8557 x4  1 Ge 2.58, 4 Bi 2.86-2.87

no.,Fermi-level density of states (states/eV/cell),energy (eV per atom)
1,8.238,-2.24
2,0.000,-6.80
3,10.214,-4.70